i) Cs2RbNaCd: optimized geometry, PBE. Values from VASP.

Geometry as Quantum ESPRESSO input:
```
&SYSTEM
  ibrav = 0, nat = 5, ntyp = 4
/
ATOMIC_SPECIES
Cs 132.91 Cs.upf
Rb 85.47 Rb.upf
Na 22.99 Na.upf
Cd 112.41 Cd.upf
CELL_PARAMETERS angstrom
7.600 0.000 0.000
0.000 7.600 0.000
0.000 0.000 6.379
ATOMIC_POSITIONS angstrom
Cs 0.000 3.800 0.000
Cs 3.800 0.000 0.000
Rb 0.000 0.000 3.189
Na 3.800 3.800 3.189
Cd 3.800 3.800 0.000
```

---

ii) Cs2RbNaCd: optimized geometry, PBE. Values from VASP.

Geometry as Quantum ESPRESSO input:
```
&SYSTEM
  ibrav = 0, nat = 5, ntyp = 4
/
ATOMIC_SPECIES
Cs 132.91 Cs.upf
Rb 85.47 Rb.upf
Na 22.99 Na.upf
Cd 112.41 Cd.upf
CELL_PARAMETERS angstrom
7.882 0.000 0.000
0.000 7.882 0.000
0.000 0.000 6.070
ATOMIC_POSITIONS angstrom
Cs 0.000 3.941 0.000
Cs 3.941 0.000 0.000
Rb 0.000 0.000 3.035
Na 3.941 3.941 0.000
Cd 3.941 3.941 3.035
```

---

iii) Cs2RbNaCd: optimized geometry, PBE. Values from VASP.

Geometry as Quantum ESPRESSO input:
```
&SYSTEM
  ibrav = 0, nat = 5, ntyp = 4
/
ATOMIC_SPECIES
Cs 132.91 Cs.upf
Rb 85.47 Rb.upf
Na 22.99 Na.upf
Cd 112.41 Cd.upf
CELL_PARAMETERS angstrom
7.476 0.000 0.000
0.000 7.476 0.000
0.000 0.000 7.193
ATOMIC_POSITIONS angstrom
Cs 0.000 3.738 0.000
Cs 3.738 0.000 0.000
Rb 0.000 0.000 3.596
Na 3.738 3.738 3.596
Cd 0.000 0.000 0.000
```

---

Least stable of them? ii).

---

i) Cs3CdO2: optimized geometry, PBE. Values from VASP.

Geometry as Quantum ESPRESSO input:
```
&SYSTEM
  ibrav = 0, nat = 12, ntyp = 3
/
ATOMIC_SPECIES
Cs 132.91 Cs.upf
Cd 112.41 Cd.upf
O 16.00 O.upf
CELL_PARAMETERS angstrom
-3.290 10.312 4.130
3.290 -10.312 4.130
3.290 10.312 -4.130
ATOMIC_POSITIONS angstrom
Cs 3.290 -3.227 2.065
Cs 0.000 0.000 2.065
Cs 3.290 3.227 2.065
Cs 0.000 7.085 2.065
Cs 0.000 0.000 6.195
Cs 0.000 13.539 2.065
Cd 3.290 0.000 0.000
Cd 0.000 10.312 0.000
O 4.584 1.531 0.000
O 1.294 8.781 0.000
O 1.996 1.531 4.130
O -1.294 8.781 4.130
```

---

ii) Cs3CdO2: optimized geometry, PBE. Values from VASP.

Geometry as Quantum ESPRESSO input:
```
&SYSTEM
  ibrav = 0, nat = 12, ntyp = 3
/
ATOMIC_SPECIES
Cs 132.91 Cs.upf
Cd 112.41 Cd.upf
O 16.00 O.upf
CELL_PARAMETERS angstrom
5.080 -4.889 0.000
5.080 4.889 0.000
0.000 0.000 7.896
ATOMIC_POSITIONS angstrom
Cs 5.080 2.963 5.922
Cs 3.140 0.000 0.000
Cs 3.140 0.000 3.948
Cs 7.021 0.000 0.000
Cs 7.021 0.000 3.948
Cs 5.080 -2.963 1.974
Cd 5.080 3.298 1.974
Cd 5.080 -3.298 5.922
O 0.000 0.000 0.000
O 0.000 0.000 3.948
O 5.080 1.101 1.974
O 5.080 -1.101 5.922
```

---

Least stable of them? ii).

---

i) Cs4Cd2O: optimized geometry, PBE. Values from VASP.

Geometry as Quantum ESPRESSO input:
```
&SYSTEM
  ibrav = 0, nat = 14, ntyp = 3
/
ATOMIC_SPECIES
Cs 132.91 Cs.upf
Cd 112.41 Cd.upf
O 16.00 O.upf
CELL_PARAMETERS angstrom
6.106 0.000 0.000
0.000 6.106 0.000
0.000 0.000 19.435
ATOMIC_POSITIONS angstrom
Cs 0.000 0.000 2.809
Cs 0.000 0.000 16.626
Cs 0.000 3.053 0.000
Cs 0.000 3.053 9.718
Cs 3.053 0.000 0.000
Cs 3.053 0.000 9.718
Cs 3.053 3.053 6.909
Cs 3.053 3.053 12.527
Cd 0.000 0.000 6.857
Cd 0.000 0.000 12.579
Cd 3.053 3.053 2.861
Cd 3.053 3.053 16.574
O 0.000 0.000 0.000
O 3.053 3.053 9.718
```

---

ii) Cs4Cd2O: optimized geometry, PBE. Values from VASP.

Geometry as Quantum ESPRESSO input:
```
&SYSTEM
  ibrav = 0, nat = 14, ntyp = 3
/
ATOMIC_SPECIES
Cs 132.91 Cs.upf
Cd 112.41 Cd.upf
O 16.00 O.upf
CELL_PARAMETERS angstrom
18.311 0.000 0.000
0.000 4.655 0.000
-0.258 0.000 7.910
ATOMIC_POSITIONS angstrom
Cs 0.702 0.000 1.856
Cs 2.412 2.328 7.003
Cs 6.485 0.000 0.908
Cs 8.195 2.328 6.054
Cs 9.858 2.328 1.856
Cs 11.568 0.000 7.003
Cs 15.641 2.328 0.908
Cs 17.351 0.000 6.054
Cd 3.987 2.328 3.199
Cd 4.911 0.000 4.711
Cd 13.142 0.000 3.199
Cd 14.067 2.328 4.711
O 0.000 2.328 0.000
O 9.156 0.000 0.000
```

---

Least stable of them? i).

---

i) Cs3CdO3: optimized geometry, PBE. Values from VASP.

Geometry as Quantum ESPRESSO input:
```
&SYSTEM
  ibrav = 0, nat = 28, ntyp = 3
/
ATOMIC_SPECIES
Cs 132.91 Cs.upf
Cd 112.41 Cd.upf
O 16.00 O.upf
CELL_PARAMETERS angstrom
7.337 0.000 0.000
0.000 13.155 0.000
-6.379 0.000 7.710
ATOMIC_POSITIONS angstrom
Cs -2.155 1.780 3.563
Cs -5.344 4.797 7.418
Cs -4.587 1.049 6.823
Cs -1.397 5.529 2.968
Cs -1.095 9.119 4.383
Cs 2.094 10.613 0.528
Cs -1.136 2.542 7.182
Cs 2.054 4.035 3.327
Cs 2.356 7.626 4.742
Cs 5.545 12.106 0.887
Cs 6.303 8.358 0.292
Cs 3.114 11.374 4.147
Cd 1.127 0.716 2.593
Cd -2.063 5.861 6.448
Cd 3.021 7.293 1.262
Cd -0.168 12.439 5.117
O 0.083 2.205 1.391
O -3.106 4.372 5.245
O -2.970 7.909 6.859
O 0.220 11.823 3.004
O 1.051 6.824 2.019
O -2.138 12.908 5.874
O 3.097 0.247 1.836
O -0.092 6.331 5.691
O 0.739 1.332 4.705
O 3.928 5.246 0.850
O 4.064 8.783 2.464
O 0.875 10.949 6.319
```

---

ii) Cs3CdO3: optimized geometry, PBE. Values from VASP.

Geometry as Quantum ESPRESSO input:
```
&SYSTEM
  ibrav = 0, nat = 14, ntyp = 3
/
ATOMIC_SPECIES
Cs 132.91 Cs.upf
Cd 112.41 Cd.upf
O 16.00 O.upf
CELL_PARAMETERS angstrom
4.034 -6.224 0.000
4.034 6.224 0.000
-1.254 0.000 7.414
ATOMIC_POSITIONS angstrom
Cs 4.034 3.817 0.000
Cs 3.407 3.123 3.707
Cs 2.799 0.000 1.258
Cs 4.015 0.000 6.156
Cs 3.407 -3.123 3.707
Cs 4.034 -3.817 0.000
Cd 0.632 0.000 4.836
Cd 6.182 0.000 2.579
O 0.352 0.000 2.601
O 1.530 1.748 5.753
O 1.530 -1.748 5.753
O 5.284 1.748 1.661
O 5.284 -1.748 1.661
O 6.462 0.000 4.813
```

---

Least stable of them? i).

---

i) Cs3CdO: optimized geometry, PBE. Values from VASP.

Geometry as Quantum ESPRESSO input:
```
&SYSTEM
  ibrav = 0, nat = 10, ntyp = 3
/
ATOMIC_SPECIES
Cs 132.91 Cs.upf
Cd 112.41 Cd.upf
O 16.00 O.upf
CELL_PARAMETERS angstrom
5.525 -8.054 0.000
5.525 8.054 0.000
0.000 0.000 6.947
ATOMIC_POSITIONS angstrom
Cs 5.525 5.821 3.473
Cs 3.425 2.128 3.601
Cs 3.425 -2.128 0.127
Cs 7.624 2.128 3.601
Cs 7.624 -2.128 0.127
Cs 5.525 -5.821 0.000
Cd 5.525 3.102 0.193
Cd 5.525 -3.102 3.667
O 5.525 3.354 2.341
O 5.525 -3.354 5.814
```

---

ii) Cs3CdO: optimized geometry, PBE. Values from VASP.

Geometry as Quantum ESPRESSO input:
```
&SYSTEM
  ibrav = 0, nat = 10, ntyp = 3
/
ATOMIC_SPECIES
Cs 132.91 Cs.upf
Cd 112.41 Cd.upf
O 16.00 O.upf
CELL_PARAMETERS angstrom
8.602 -2.962 0.000
8.602 2.962 0.000
-7.044 0.000 10.107
ATOMIC_POSITIONS angstrom
Cs 0.000 0.000 0.000
Cs -2.867 0.000 4.433
Cs -0.265 0.000 8.029
Cs 3.518 0.000 7.338
Cs 7.428 0.000 2.164
Cs 11.253 0.000 1.236
Cd 1.045 0.000 4.060
Cd 9.925 0.000 5.347
O -0.743 0.000 2.796
O 2.004 0.000 9.686
```

---

Least stable of them? i).

---

i) Cs2CdTeO: optimized geometry, PBE. Values from VASP.

Geometry as Quantum ESPRESSO input:
```
&SYSTEM
  ibrav = 0, nat = 5, ntyp = 4
/
ATOMIC_SPECIES
Cs 132.91 Cs.upf
Cd 112.41 Cd.upf
Te 127.60 Te.upf
O 16.00 O.upf
CELL_PARAMETERS angstrom
6.272 0.000 0.000
0.000 6.272 0.000
0.000 0.000 4.498
ATOMIC_POSITIONS angstrom
Cs 0.000 3.136 0.000
Cs 3.136 0.000 0.000
Cd 0.000 0.000 2.249
Te 3.136 3.136 2.249
O 3.136 3.136 0.000
```

---

ii) Cs2CdTeO: optimized geometry, PBE. Values from VASP.

Geometry as Quantum ESPRESSO input:
```
&SYSTEM
  ibrav = 0, nat = 5, ntyp = 4
/
ATOMIC_SPECIES
Cs 132.91 Cs.upf
Cd 112.41 Cd.upf
Te 127.60 Te.upf
O 16.00 O.upf
CELL_PARAMETERS angstrom
6.625 0.000 0.000
0.000 6.625 0.000
0.000 0.000 4.218
ATOMIC_POSITIONS angstrom
Cs 0.000 3.312 0.000
Cs 3.312 0.000 0.000
Cd 0.000 0.000 2.109
Te 3.312 3.312 2.109
O 0.000 0.000 0.000
```

---

Least stable of them? i).

---

i) CsCd3Os: optimized geometry, PBE. Values from VASP.

Geometry as Quantum ESPRESSO input:
```
&SYSTEM
  ibrav = 0, nat = 5, ntyp = 3
/
ATOMIC_SPECIES
Cs 132.91 Cs.upf
Cd 112.41 Cd.upf
Os 190.23 Os.upf
CELL_PARAMETERS angstrom
5.374 0.000 0.000
0.000 5.374 0.000
0.000 0.000 5.374
ATOMIC_POSITIONS angstrom
Cs 0.000 0.000 0.000
Cd 0.000 2.687 2.687
Cd 2.687 0.000 2.687
Cd 2.687 2.687 0.000
Os 2.687 2.687 2.687
```

---

ii) CsCd3Os: optimized geometry, PBE. Values from VASP.

Geometry as Quantum ESPRESSO input:
```
&SYSTEM
  ibrav = 0, nat = 5, ntyp = 3
/
ATOMIC_SPECIES
Cs 132.91 Cs.upf
Cd 112.41 Cd.upf
Os 190.23 Os.upf
CELL_PARAMETERS angstrom
7.193 0.000 0.000
0.000 7.193 0.000
0.000 0.000 7.193
ATOMIC_POSITIONS angstrom
Cs 0.000 0.000 0.000
Cd 0.000 0.000 3.597
Cd 0.000 3.597 0.000
Cd 3.597 0.000 0.000
Os 3.597 3.597 3.597
```

---

Least stable of them? ii).

---

i) CsCd3P: optimized geometry, PBE. Values from VASP.

Geometry as Quantum ESPRESSO input:
```
&SYSTEM
  ibrav = 0, nat = 5, ntyp = 3
/
ATOMIC_SPECIES
Cs 132.91 Cs.upf
Cd 112.41 Cd.upf
P 30.97 P.upf
CELL_PARAMETERS angstrom
7.258 0.000 0.000
0.000 7.258 0.000
0.000 0.000 7.258
ATOMIC_POSITIONS angstrom
Cs 0.000 0.000 0.000
Cd 0.000 0.000 3.629
Cd 0.000 3.629 0.000
Cd 3.629 0.000 0.000
P 3.629 3.629 3.629
```

---

ii) CsCd3P: optimized geometry, PBE. Values from VASP.

Geometry as Quantum ESPRESSO input:
```
&SYSTEM
  ibrav = 0, nat = 5, ntyp = 3
/
ATOMIC_SPECIES
Cs 132.91 Cs.upf
Cd 112.41 Cd.upf
P 30.97 P.upf
CELL_PARAMETERS angstrom
5.522 0.000 0.000
0.000 5.522 0.000
0.000 0.000 5.522
ATOMIC_POSITIONS angstrom
Cs 0.000 0.000 0.000
Cd 0.000 2.761 2.761
Cd 2.761 0.000 2.761
Cd 2.761 2.761 0.000
P 2.761 2.761 2.761
```

---

Least stable of them? i).

---

i) CsCdPS2: optimized geometry, PBE. Values from VASP.

Geometry as Quantum ESPRESSO input:
```
&SYSTEM
  ibrav = 0, nat = 5, ntyp = 4
/
ATOMIC_SPECIES
Cs 132.91 Cs.upf
Cd 112.41 Cd.upf
P 30.97 P.upf
S 32.06 S.upf
CELL_PARAMETERS angstrom
5.537 0.000 0.000
0.000 5.537 0.000
0.000 0.000 6.915
ATOMIC_POSITIONS angstrom
Cs 0.000 0.000 0.000
Cd 2.768 2.768 3.457
P 0.000 0.000 3.457
S 0.000 2.768 0.000
S 2.768 0.000 0.000
```

---

ii) CsCdPS2: optimized geometry, PBE. Values from VASP.

Geometry as Quantum ESPRESSO input:
```
&SYSTEM
  ibrav = 0, nat = 5, ntyp = 4
/
ATOMIC_SPECIES
Cs 132.91 Cs.upf
Cd 112.41 Cd.upf
P 30.97 P.upf
S 32.06 S.upf
CELL_PARAMETERS angstrom
5.290 0.000 0.000
0.000 5.290 0.000
0.000 0.000 5.165
ATOMIC_POSITIONS angstrom
Cs 0.000 0.000 0.000
Cd 2.645 2.645 2.582
P 2.645 2.645 0.000
S 0.000 2.645 2.582
S 2.645 0.000 2.582
```

---

Least stable of them? i).

---

i) Cs2CdPb2: optimized geometry, PBE. Values from VASP.

Geometry as Quantum ESPRESSO input:
```
&SYSTEM
  ibrav = 0, nat = 10, ntyp = 3
/
ATOMIC_SPECIES
Cs 132.91 Cs.upf
Cd 112.41 Cd.upf
Pb 207.20 Pb.upf
CELL_PARAMETERS angstrom
5.074 0.000 0.000
0.000 6.778 0.000
0.000 0.000 13.150
ATOMIC_POSITIONS angstrom
Cs 0.000 0.000 2.656
Cs 0.000 0.000 10.494
Cs 2.537 3.389 3.919
Cs 2.537 3.389 9.231
Cd 0.000 3.389 0.000
Cd 2.537 0.000 6.575
Pb 0.000 1.728 6.575
Pb 0.000 5.050 6.575
Pb 2.537 1.661 0.000
Pb 2.537 5.117 0.000
```

---

ii) Cs2CdPb2: optimized geometry, PBE. Values from VASP.

Geometry as Quantum ESPRESSO input:
```
&SYSTEM
  ibrav = 0, nat = 10, ntyp = 3
/
ATOMIC_SPECIES
Cs 132.91 Cs.upf
Cd 112.41 Cd.upf
Pb 207.20 Pb.upf
CELL_PARAMETERS angstrom
11.556 0.000 0.000
0.000 11.556 0.000
0.000 0.000 3.733
ATOMIC_POSITIONS angstrom
Cs 2.354 3.424 0.000
Cs 3.424 9.202 0.000
Cs 8.131 2.354 0.000
Cs 9.202 8.131 0.000
Cd 0.000 0.000 0.000
Cd 5.778 5.778 0.000
Pb 1.042 6.820 1.866
Pb 4.735 1.042 1.866
Pb 6.820 10.513 1.866
Pb 10.513 4.735 1.866
```

---

iii) Cs2CdPb2: optimized geometry, PBE. Values from VASP.

Geometry as Quantum ESPRESSO input:
```
&SYSTEM
  ibrav = 0, nat = 10, ntyp = 3
/
ATOMIC_SPECIES
Cs 132.91 Cs.upf
Cd 112.41 Cd.upf
Pb 207.20 Pb.upf
CELL_PARAMETERS angstrom
7.764 0.000 0.000
0.000 7.764 0.000
0.000 0.000 9.029
ATOMIC_POSITIONS angstrom
Cs 0.000 3.882 2.257
Cs 0.000 3.882 6.772
Cs 3.882 0.000 2.257
Cs 3.882 0.000 6.772
Cd 0.000 0.000 0.000
Cd 3.882 3.882 4.514
Pb 0.000 0.000 3.086
Pb 0.000 0.000 5.943
Pb 3.882 3.882 1.428
Pb 3.882 3.882 7.601
```

---

Least stable of them? ii).

---

i) CsCd2Pb4: optimized geometry, PBE. Values from VASP.

Geometry as Quantum ESPRESSO input:
```
&SYSTEM
  ibrav = 0, nat = 14, ntyp = 3
/
ATOMIC_SPECIES
Cs 132.91 Cs.upf
Cd 112.41 Cd.upf
Pb 207.20 Pb.upf
CELL_PARAMETERS angstrom
9.676 0.000 0.000
0.000 9.676 0.000
0.000 0.000 5.165
ATOMIC_POSITIONS angstrom
Cs 0.000 0.000 0.000
Cs 4.838 4.838 2.583
Cd 2.095 2.095 2.583
Cd 2.743 6.933 0.000
Cd 6.933 2.743 0.000
Cd 7.581 7.581 2.583
Pb 0.821 6.318 2.583
Pb 1.480 4.017 0.000
Pb 3.358 8.855 2.583
Pb 4.017 1.480 0.000
Pb 5.658 8.196 0.000
Pb 6.318 0.821 2.583
Pb 8.196 5.658 0.000
Pb 8.855 3.358 2.583
```

---

ii) CsCd2Pb4: optimized geometry, PBE. Values from VASP.

Geometry as Quantum ESPRESSO input:
```
&SYSTEM
  ibrav = 0, nat = 14, ntyp = 3
/
ATOMIC_SPECIES
Cs 132.91 Cs.upf
Cd 112.41 Cd.upf
Pb 207.20 Pb.upf
CELL_PARAMETERS angstrom
5.471 0.000 0.000
0.000 17.220 0.000
0.000 0.000 5.187
ATOMIC_POSITIONS angstrom
Cs 0.000 0.000 0.000
Cs 2.735 8.610 0.000
Cd 0.000 7.148 2.593
Cd 0.000 10.072 2.593
Cd 2.735 1.462 2.593
Cd 2.735 15.759 2.593
Pb 0.000 3.226 2.593
Pb 0.000 5.278 0.000
Pb 0.000 11.943 0.000
Pb 0.000 13.994 2.593
Pb 2.735 3.333 0.000
Pb 2.735 5.384 2.593
Pb 2.735 11.836 2.593
Pb 2.735 13.888 0.000
```

---

Least stable of them? i).